The following is a DFT calculation (GGA+U) of crystalline SrNi2PtO4 at its relaxed geometry.

POSCAR file:
```
SrNi2PtO4
1.0
4.2274 -2.6907 0.0000
4.2274 2.6907 0.0000
-3.2559 0.0000 4.5812
Sr Ni Pt O
1 2 1 4
Direct
0.0000 0.0000 0.0000
0.2377 0.2243 0.7270
0.7757 0.7623 0.2730
0.4008 0.5992 0.5000
0.1225 0.4831 0.0655
0.5015 0.1197 0.5148
0.5169 0.8775 0.9345
0.8803 0.4985 0.4852
```

E_tot (eV/atom): -5.046